(1)
The following is a PBE-GGA calculation of a relaxed structure of Ac2LaHoTe6, from Alexandria.

Properties
The formation energy (no corrections) is -1477.1 meV/atom. The space group is R3 (146). Its crystal system is trigonal.

Cell: 8.587 8.587 8.587 Å, 56.95 56.95 56.95°
Sites, in units of the cell vectors:
Ac 0.000 0.000 0.000
Ac 0.498 0.498 0.498
La 0.201 0.201 0.201
Ho 0.699 0.699 0.699
Te 0.068 0.430 0.819
Te 0.327 0.914 0.583
Te 0.430 0.819 0.068
Te 0.583 0.327 0.914
Te 0.819 0.068 0.430
Te 0.914 0.583 0.327

(2)
The following is a PBE-GGA calculation of a relaxed structure of Ac3La2HoTe6, from Alexandria.

Properties
The formation energy (no corrections) is -1478.4 meV/atom. The space group is C2/m (12). Its crystal system is monoclinic.

Cell: 10.348 10.348 9.329 Å, 103.73 103.73 25.54°
Sites, in units of the cell vectors:
Ac 0.000 0.000 0.000
Ac 0.329 0.329 0.664
Ac 0.671 0.671 0.336
La 0.333 0.333 0.166
La 0.667 0.667 0.834
Ho 0.000 0.000 0.500
Te 0.158 0.158 0.586
Te 0.169 0.169 0.078
Te 0.500 0.500 0.269
Te 0.500 0.500 0.731
Te 0.831 0.831 0.922
Te 0.842 0.842 0.414

no.,density of states at the Fermi level (states/eV per cell)
1,0.0
2,7.2